# CuReI3

CuReI3 after structural relaxation (GGA-PBE, Alexandria).

Results
DFT total energy = -3.004 eV/atom
M_tot = 5.8 μB/cell
crystal system = cubic
polymorph energy (0 for the lowest one) = 230 meV/atom

Structure (CIF):
```
data_CuReI3
_chemical_formula_sum 'Cu1 Re1 I3'
_cell_length_a 5.438
_cell_length_b 5.438
_cell_length_c 5.438
_cell_angle_alpha 90.00
_cell_angle_beta 90.00
_cell_angle_gamma 90.00
_space_group_name_H-M_alt 'P m -3 m'
_space_group_IT_number 221
_space_group_name_Hall '-P 4 2 3'
loop_
_atom_site_label
_atom_site_type_symbol
_atom_site_fract_x
_atom_site_fract_y
_atom_site_fract_z
Cu1 Cu 0.000 0.000 0.000
Re1 Re 0.500 0.500 0.500
I1 I 0.000 0.000 0.500
```